VASP calculation (PBE) on a relaxed structure of TlIn2I4.

abc: 9.5998 9.5998 8.0336
angles: 114.15 114.15 27.73
Last column: nearest neighbours and their distance in Å.
Fractional positions:
Tl 0.0000 0.0000 0.0000  6 I 3.44-3.48
In 0.2589 0.2589 0.2683  6 I 3.26-3.40
In 0.7411 0.7411 0.7317  6 I 3.26-3.40
I 0.1297 0.1297 0.4574  3 In 3.26-3.35, 1 Tl 3.44
I 0.3648 0.3648 0.0248  3 In 3.31-3.40, 2 Tl 3.48
I 0.6352 0.6352 0.9752  3 In 3.31-3.40, 2 Tl 3.48
I 0.8703 0.8703 0.5426  3 In 3.26-3.35, 1 Tl 3.44

Calculated values
Its density of states at the Fermi level is 6.3 states/eV/cell. The uncorrected formation energy is -0.45 eV/atom. The calculation puts the excess energy over the best structure of this formula in the dataset at 0.0352 eV/atom. The density comes out at 5.0 g/cm³. For the total DFT energy (no corrections), the calculation gives -17.21 eV per cell. Its total moment is 0.00 Bohr magnetons per cell.

VASP calculation (PBE) on a relaxed structure of Sc2CoHg.

abc: 4.7131 4.7131 3.3816
angles: 90.00 90.00 90.00
Last column: nearest neighbours and their distance in Å.
Fractional positions:
Sc 0.0000 0.5000 0.0000  4 Hg 2.90, 4 Co 2.90
Sc 0.5000 0.0000 0.0000  4 Hg 2.90, 4 Co 2.90
Co 0.0000 0.0000 0.5000  8 Sc 2.90
Hg 0.5000 0.5000 0.5000  8 Sc 2.90

Calculated values
The value obtained for the formation energy is -261.7 meV/atom. Its density of states at the Fermi level is 2.9 states/eV/cell. The density comes out at 7.7 g/cm³. For the total DFT energy (no corrections), the calculation gives -21.12 eV per cell. Its total moment is 0.51 Bohr magnetons per cell.

VASP calculation (PBE) on a relaxed structure of PaMnInS4.

abc: 6.5092 6.4052 8.8226
angles: 90.00 110.07 90.00
Last column: nearest neighbours and their distance in Å.
Fractional positions:
Pa 0.2295 0.2500 0.0522  6 S 2.66-2.75
Pa 0.7705 0.7500 0.9478  6 S 2.66-2.75
Mn 0.2201 0.7500 0.8208  4 S 2.30-2.31
Mn 0.7799 0.2500 0.1792  4 S 2.30-2.31
In 0.2932 0.2500 0.5625  2 S 2.97-3.07
In 0.7068 0.7500 0.4375  2 S 2.97-3.07
S 0.0303 0.5123 0.2007  1 Mn 2.30
S 0.0303 0.9877 0.2007  1 Mn 2.30
S 0.4424 0.7500 0.6661  1 Mn 2.30
S 0.4596 0.7500 0.0845  1 Mn 2.31
S 0.5404 0.2500 0.9155  1 Mn 2.31
S 0.5576 0.2500 0.3339  1 Mn 2.30
S 0.9697 0.0123 0.7993  1 Mn 2.30
S 0.9697 0.4877 0.7993  1 Mn 2.30

Calculated values
The uncorrected formation energy is -0.96 eV/atom. The density comes out at 5.1 g/cm³. For the total DFT energy (no corrections), the calculation gives -89.27 eV per cell. Its total moment is 9.74 Bohr magnetons per cell.

VASP calculation (PBE) on a relaxed structure of BaMg3Ga3.

abc: 7.5343 7.5343 7.5343
angles: 90.00 90.00 90.00
Last column: nearest neighbours and their distance in Å.
Fractional positions:
Ba 0.0000 0.0000 0.0000  12 Mg 4.21, 12 Ga 4.21
Ba 0.5000 0.5000 0.5000  12 Mg 4.21, 12 Ga 4.21
Mg 0.0000 0.2500 0.5000  4 Ga 2.66
Mg 0.0000 0.7500 0.5000  4 Ga 2.66
Mg 0.2500 0.5000 0.0000  4 Ga 2.66
Mg 0.5000 0.0000 0.2500  4 Ga 2.66
Mg 0.5000 0.0000 0.7500  4 Ga 2.66
Mg 0.7500 0.5000 0.0000  4 Ga 2.66
Ga 0.0000 0.5000 0.2500  4 Mg 2.66
Ga 0.0000 0.5000 0.7500  4 Mg 2.66
Ga 0.2500 0.0000 0.5000  4 Mg 2.66
Ga 0.5000 0.2500 0.0000  4 Mg 2.66
Ga 0.5000 0.7500 0.0000  4 Mg 2.66
Ga 0.7500 0.0000 0.5000  4 Mg 2.66

Calculated values
The value obtained for the formation energy is 71.6 meV/atom. Its density of states at the Fermi level is 9.2 states/eV/cell. The calculation puts the excess energy over the best structure of this formula in the dataset at 0.1816 eV/atom. The density comes out at 3.3 g/cm³. For the total DFT energy (no corrections), the calculation gives -30.57 eV per cell. Its total moment is 0.00 Bohr magnetons per cell.

VASP calculation (PBE) on a relaxed structure of SbMo.

abc: 10.6156 10.6156 3.3006
angles: 90.00 90.00 120.00
Last column: nearest neighbours and their distance in Å.
Fractional positions:
Sb 0.0972 0.7489 0.2500  4 Mo 2.73-2.81
Sb 0.2511 0.3483 0.2500  4 Mo 2.73-2.81
Sb 0.3483 0.0972 0.7500  4 Mo 2.73-2.81
Sb 0.6517 0.9028 0.2500  4 Mo 2.73-2.81
Sb 0.7489 0.6517 0.7500  4 Mo 2.73-2.81
Sb 0.9028 0.2511 0.7500  4 Mo 2.73-2.81
Mo 0.0834 0.4854 0.2500  2 Mo 2.55, 4 Sb 2.73-2.81
Mo 0.4020 0.9166 0.2500  2 Mo 2.55, 4 Sb 2.73-2.81
Mo 0.4854 0.4020 0.7500  2 Mo 2.55, 4 Sb 2.73-2.81
Mo 0.5146 0.5980 0.2500  2 Mo 2.55, 4 Sb 2.73-2.81
Mo 0.5980 0.0834 0.7500  2 Mo 2.55, 4 Sb 2.73-2.81
Mo 0.9166 0.5146 0.7500  2 Mo 2.55, 4 Sb 2.73-2.81

Calculated values
Its density of states at the Fermi level is 7.6 states/eV/cell. The uncorrected formation energy is 0.54 eV/atom. The density comes out at 6.7 g/cm³. For the total DFT energy (no corrections), the calculation gives -83.26 eV per cell. Its total moment is 0.00 Bohr magnetons per cell.

VASP calculation (PBE) on a relaxed structure of Hf3Nb4Sn2.

abc: 4.8439 4.8439 8.8677
angles: 93.49 93.49 61.61
Last column: nearest neighbours and their distance in Å.
Fractional positions:
Hf 0.0000 0.0000 0.0000  8 Nb 2.85-3.13
Hf 0.3383 0.3383 0.5708  4 Nb 2.90-2.98, 1 Sn 3.02, 3 Hf 3.05-3.10
Hf 0.6617 0.6617 0.4292  4 Nb 2.90-2.98, 1 Sn 3.02, 3 Hf 3.05-3.10
Nb 0.0061 0.0061 0.6482  1 Nb 2.62, 3 Hf 2.90
Nb 0.3558 0.3558 0.9081  1 Nb 2.80, 4 Hf 2.85-3.13, 4 Sn 2.89-3.08
Nb 0.6442 0.6442 0.0919  1 Nb 2.80, 4 Hf 2.85-3.13, 4 Sn 2.89-3.08
Nb 0.9939 0.9939 0.3518  1 Nb 2.62, 3 Hf 2.90
Sn 0.3187 0.3187 0.2294  7 Nb 2.89-3.08, 2 Hf 3.02-3.23
Sn 0.6813 0.6813 0.7706  7 Nb 2.89-3.08, 2 Hf 3.02-3.23

Calculated values
The value obtained for the formation energy is -8.3 meV/atom. Its density of states at the Fermi level is 10.8 states/eV/cell. The density comes out at 10.4 g/cm³. For the total DFT energy (no corrections), the calculation gives -78.22 eV per cell. Its total moment is 0.00 Bohr magnetons per cell.

VASP calculation (PBE) on a relaxed structure of K2BeSb.

abc: 3.8046 5.2541 6.1390
angles: 90.00 91.02 90.00
Last column: nearest neighbours and their distance in Å.
Fractional positions:
K 0.0072 0.0000 0.2487  2 K 3.05-3.09
K 0.9928 0.0000 0.7513  2 K 3.05-3.09
Be 0.5000 0.5000 0.5000  2 Sb 3.07
Sb 0.5000 0.5000 0.0000  2 Be 3.07

Calculated values
Its density of states at the Fermi level is 1.8 states/eV/cell. The uncorrected formation energy is 0.43 eV/atom. The calculation puts the excess energy over the best structure of this formula in the dataset at 0.4463 eV/atom. The density comes out at 2.8 g/cm³. For the total DFT energy (no corrections), the calculation gives -8.32 eV per cell. Its total moment is 0.00 Bohr magnetons per cell.

VASP calculation (PBE) on a relaxed structure of Ca2CrIrCl.

abc: 5.1444 5.1444 4.4496
angles: 90.00 90.00 90.00
Last column: nearest neighbours and their distance in Å.
Fractional positions:
Ca 0.0000 0.5000 0.0000  2 Cl 2.57
Ca 0.5000 0.0000 0.0000  2 Cl 2.57
Cr 0.0000 0.0000 0.5000  2 Cl 2.22
Ir 0.5000 0.5000 0.5000  8 Ca 3.40, 4 Cr 3.64
Cl 0.0000 0.0000 0.0000  2 Cr 2.22

Calculated values
Its density of states at the Fermi level is 2.0 states/eV/cell. The uncorrected formation energy is 0.15 eV/atom. The density comes out at 5.1 g/cm³. For the total DFT energy (no corrections), the calculation gives -23.61 eV per cell. Its total moment is 4.27 Bohr magnetons per cell.